Density functional theory data (PBEsol) for crystalline Ba2InPt at its relaxed geometry.

```
Ba2InPt
1.0
-2.238 2.250 2.340
-4.318 -3.366 -0.892
4.809 -2.600 3.777
Ba In Pt
2 1 1
Direct
0.953 0.953 0.906
0.766 0.266 0.532
0.561 0.561 0.122
0.220 0.720 0.439
```

- DFT formation energy: -456 meV per atom
- Theoretical density: 7.78 g/cm³
- Crystal system: orthorhombic